# 1
# KNiOs2Br (GGA-PBE, optimized geometry)
# * SG: P4/mmm (123)
# * ΔE_f (raw): 33.0 kcal/mol of atoms
data_KNiOs2Br
_chemical_formula_sum 'K1 Ni1 Os2 Br1'
_space_group_name_H-M_alt 'P 1'
_space_group_IT_number 1
_cell_length_a 4.549
_cell_length_b 4.549
_cell_length_c 6.807
_cell_angle_alpha 90.00
_cell_angle_beta 90.00
_cell_angle_gamma 90.00
loop_
_space_group_symop_operation_xyz
'x,y,z'
loop_
_atom_site_label
_atom_site_type_symbol
_atom_site_fract_x
_atom_site_fract_y
_atom_site_fract_z
K1 K 0.000 0.000 0.000
Ni1 Ni 0.000 0.000 0.500
Os1 Os 0.000 0.500 0.500
Os2 Os 0.500 0.000 0.500
Br1 Br 0.500 0.500 0.000

# 2
# KNiOsBr2 (GGA-PBE, optimized geometry)
# * SG: P4/mmm (123)
# * ΔE_f (raw): 40.9 kcal/mol of atoms
data_KNiOsBr2
_chemical_formula_sum 'K1 Ni1 Os1 Br2'
_space_group_name_H-M_alt 'P 1'
_space_group_IT_number 1
_cell_length_a 5.743
_cell_length_b 5.743
_cell_length_c 5.268
_cell_angle_alpha 90.00
_cell_angle_beta 90.00
_cell_angle_gamma 90.00
loop_
_space_group_symop_operation_xyz
'x,y,z'
loop_
_atom_site_label
_atom_site_type_symbol
_atom_site_fract_x
_atom_site_fract_y
_atom_site_fract_z
K1 K 0.000 0.000 0.000
Ni1 Ni 0.000 0.000 0.500
Os1 Os 0.500 0.500 0.500
Br1 Br 0.000 0.500 0.000
Br2 Br 0.500 0.000 0.000

# 3
# K2NiPdBr6 (GGA-PBE, optimized geometry)
# * SG: P2_1/c (14)
# * ΔE_f (raw): -19.5 kcal/mol of atoms
data_K2NiPdBr6
_chemical_formula_sum 'K4 Ni2 Pd2 Br12'
_space_group_name_H-M_alt 'P 1'
_space_group_IT_number 1
_cell_length_a 7.234
_cell_length_b 7.253
_cell_length_c 12.674
_cell_angle_alpha 90.00
_cell_angle_beta 124.69
_cell_angle_gamma 90.00
loop_
_space_group_symop_operation_xyz
'x,y,z'
loop_
_atom_site_label
_atom_site_type_symbol
_atom_site_fract_x
_atom_site_fract_y
_atom_site_fract_z
K1 K 0.242 0.035 0.250
K2 K 0.242 0.465 0.750
K3 K 0.758 0.535 0.250
K4 K 0.758 0.965 0.750
Ni1 Ni 0.500 0.000 0.000
Ni2 Ni 0.500 0.500 0.500
Pd1 Pd 0.000 0.000 0.500
Pd2 Pd 0.000 0.500 0.000
Br1 Br 0.200 0.211 0.979
Br2 Br 0.200 0.289 0.479
Br3 Br 0.269 0.720 0.980
Br4 Br 0.269 0.780 0.480
Br5 Br 0.298 0.504 0.258
Br6 Br 0.298 0.996 0.758
Br7 Br 0.702 0.004 0.242
Br8 Br 0.702 0.496 0.742
Br9 Br 0.731 0.220 0.520
Br10 Br 0.731 0.280 0.020
Br11 Br 0.800 0.711 0.521
Br12 Br 0.800 0.789 0.021

# 4
# KNiPtBr6 (GGA-PBE, optimized geometry)
# * SG: C2 (5)
# * ΔE_f (raw): -12.8 kcal/mol of atoms
data_KNiPtBr6
_chemical_formula_sum 'K1 Ni1 Pt1 Br6'
_space_group_name_H-M_alt 'P 1'
_space_group_IT_number 1
_cell_length_a 6.628
_cell_length_b 6.628
_cell_length_c 7.459
_cell_angle_alpha 90.96
_cell_angle_beta 90.96
_cell_angle_gamma 117.78
loop_
_space_group_symop_operation_xyz
'x,y,z'
loop_
_atom_site_label
_atom_site_type_symbol
_atom_site_fract_x
_atom_site_fract_y
_atom_site_fract_z
K1 K 0.000 0.000 0.000
Ni1 Ni 0.669 0.331 0.500
Pt1 Pt 0.333 0.667 0.500
Br1 Br 0.363 0.001 0.683
Br2 Br 0.367 0.373 0.308
Br3 Br 0.627 0.633 0.692
Br4 Br 0.639 0.020 0.291
Br5 Br 0.980 0.361 0.709
Br6 Br 0.999 0.637 0.317

# 5
# K3Rb3NiBr8 (GGA-PBE, optimized geometry)
# * SG: R-3m (166)
# * ΔE_f (raw): -32.9 kcal/mol of atoms
data_K3Rb3NiBr8
_chemical_formula_sum 'K3 Rb3 Ni1 Br8'
_space_group_name_H-M_alt 'P 1'
_space_group_IT_number 1
_cell_length_a 9.566
_cell_length_b 9.566
_cell_length_c 9.566
_cell_angle_alpha 58.80
_cell_angle_beta 58.80
_cell_angle_gamma 58.80
loop_
_space_group_symop_operation_xyz
'x,y,z'
loop_
_atom_site_label
_atom_site_type_symbol
_atom_site_fract_x
_atom_site_fract_y
_atom_site_fract_z
K1 K 0.000 0.500 0.500
K2 K 0.500 0.000 0.500
K3 K 0.500 0.500 0.000
Rb1 Rb 0.000 0.000 0.500
Rb2 Rb 0.000 0.500 0.000
Rb3 Rb 0.500 0.000 0.000
Ni1 Ni 0.000 0.000 0.000
Br1 Br 0.198 0.198 0.797
Br2 Br 0.198 0.797 0.198
Br3 Br 0.203 0.802 0.802
Br4 Br 0.254 0.254 0.254
Br5 Br 0.746 0.746 0.746
Br6 Br 0.797 0.198 0.198
Br7 Br 0.802 0.203 0.802
Br8 Br 0.802 0.802 0.203

# 6
# KRb3Ni2Br9 (GGA-PBE, optimized geometry)
# * SG: P-3m1 (164)
# * ΔE_f (raw): -23.3 kcal/mol of atoms
data_KRb3Ni2Br9
_chemical_formula_sum 'K1 Rb3 Ni2 Br9'
_space_group_name_H-M_alt 'P 1'
_space_group_IT_number 1
_cell_length_a 7.416
_cell_length_b 7.416
_cell_length_c 10.573
_cell_angle_alpha 90.00
_cell_angle_beta 90.00
_cell_angle_gamma 120.00
loop_
_space_group_symop_operation_xyz
'x,y,z'
loop_
_atom_site_label
_atom_site_type_symbol
_atom_site_fract_x
_atom_site_fract_y
_atom_site_fract_z
K1 K 0.000 0.000 0.000
Rb1 Rb 0.000 0.000 0.500
Rb2 Rb 0.333 0.667 0.235
Rb3 Rb 0.667 0.333 0.765
Ni1 Ni 0.333 0.667 0.651
Ni2 Ni 0.667 0.333 0.349
Br1 Br 0.000 0.500 0.500
Br2 Br 0.175 0.349 0.778
Br3 Br 0.175 0.825 0.778
Br4 Br 0.349 0.175 0.222
Br5 Br 0.500 0.000 0.500
Br6 Br 0.500 0.500 0.500
Br7 Br 0.651 0.825 0.778
Br8 Br 0.825 0.175 0.222
Br9 Br 0.825 0.651 0.222

# 7
# KNiRhBr6 (GGA-PBE, optimized geometry)
# * SG: P312 (149)
# * ΔE_f (raw): -15.2 kcal/mol of atoms
data_KNiRhBr6
_chemical_formula_sum 'K1 Ni1 Rh1 Br6'
_space_group_name_H-M_alt 'P 1'
_space_group_IT_number 1
_cell_length_a 6.591
_cell_length_b 6.591
_cell_length_c 7.467
_cell_angle_alpha 90.00
_cell_angle_beta 90.00
_cell_angle_gamma 120.00
loop_
_space_group_symop_operation_xyz
'x,y,z'
loop_
_atom_site_label
_atom_site_type_symbol
_atom_site_fract_x
_atom_site_fract_y
_atom_site_fract_z
K1 K 0.000 0.000 0.000
Ni1 Ni 0.667 0.333 0.500
Rh1 Rh 0.333 0.667 0.500
Br1 Br 0.004 0.369 0.690
Br2 Br 0.004 0.636 0.310
Br3 Br 0.364 0.369 0.310
Br4 Br 0.364 0.996 0.690
Br5 Br 0.631 0.636 0.690
Br6 Br 0.631 0.996 0.310

# 8
# KNiRuBr6 (GGA-PBE, optimized geometry)
# * SG: P312 (149)
# * ΔE_f (raw): -13.5 kcal/mol of atoms
data_KNiRuBr6
_chemical_formula_sum 'K1 Ni1 Ru1 Br6'
_space_group_name_H-M_alt 'P 1'
_space_group_IT_number 1
_cell_length_a 6.627
_cell_length_b 6.627
_cell_length_c 7.434
_cell_angle_alpha 90.00
_cell_angle_beta 90.00
_cell_angle_gamma 120.00
loop_
_space_group_symop_operation_xyz
'x,y,z'
loop_
_atom_site_label
_atom_site_type_symbol
_atom_site_fract_x
_atom_site_fract_y
_atom_site_fract_z
K1 K 0.000 0.000 0.000
Ni1 Ni 0.667 0.333 0.500
Ru1 Ru 0.333 0.667 0.500
Br1 Br 0.004 0.372 0.692
Br2 Br 0.004 0.632 0.308
Br3 Br 0.368 0.372 0.308
Br4 Br 0.368 0.996 0.692
Br5 Br 0.628 0.632 0.692
Br6 Br 0.628 0.996 0.308

# 9
# KScNiBr6 (GGA-PBE, optimized geometry)
# * SG: P312 (149)
# * ΔE_f (raw): -28.7 kcal/mol of atoms
data_KScNiBr6
_chemical_formula_sum 'K1 Sc1 Ni1 Br6'
_space_group_name_H-M_alt 'P 1'
_space_group_IT_number 1
_cell_length_a 6.802
_cell_length_b 6.802
_cell_length_c 7.405
_cell_angle_alpha 90.00
_cell_angle_beta 90.00
_cell_angle_gamma 120.00
loop_
_space_group_symop_operation_xyz
'x,y,z'
loop_
_atom_site_label
_atom_site_type_symbol
_atom_site_fract_x
_atom_site_fract_y
_atom_site_fract_z
K1 K 0.000 0.000 0.000
Sc1 Sc 0.667 0.333 0.500
Ni1 Ni 0.333 0.667 0.500
Br1 Br 0.010 0.377 0.702
Br2 Br 0.010 0.634 0.298
Br3 Br 0.366 0.377 0.298
Br4 Br 0.366 0.990 0.702
Br5 Br 0.623 0.634 0.702
Br6 Br 0.623 0.990 0.298

# 10
# KNiSeBr2 (GGA-PBE, optimized geometry)
# * SG: P4/mmm (123)
# * ΔE_f (raw): -13.6 kcal/mol of atoms
# * excess energy over the best structure of this formula in the dataset: 0 kJ/mol of formula units
data_KNiSeBr2
_chemical_formula_sum 'K1 Ni1 Se1 Br2'
_space_group_name_H-M_alt 'P 1'
_space_group_IT_number 1
_cell_length_a 5.349
_cell_length_b 5.349
_cell_length_c 4.605
_cell_angle_alpha 90.00
_cell_angle_beta 90.00
_cell_angle_gamma 90.00
loop_
_space_group_symop_operation_xyz
'x,y,z'
loop_
_atom_site_label
_atom_site_type_symbol
_atom_site_fract_x
_atom_site_fract_y
_atom_site_fract_z
K1 K 0.000 0.000 0.000
Ni1 Ni 0.500 0.500 0.500
Se1 Se 0.500 0.500 0.000
Br1 Br 0.000 0.500 0.500
Br2 Br 0.500 0.000 0.500

Number 1: theoretical density 6.58 g/cm3. Number 2: theoretical density 4.28 g/cm3. Number 3: theoretical density 4.39 g/cm3. Number 4: theoretical density 4.43 g/cm3. Number 5: theoretical density 2.96 g/cm3. Number 6: theoretical density 3.73 g/cm3. Number 7: theoretical density 4.02 g/cm3. Number 8: theoretical density 3.98 g/cm3. Number 9: theoretical density 3.48 g/cm3. Number 10: theoretical density 4.24 g/cm3.